First-principles (PBE) data for a relaxed structure of Tm2Tl2Ag, as listed in Alexandria.

The value obtained for the density of states at the Fermi level is 3.6 states/eV/f.u. The total energy comes out at -3.47 eV per atom. The calculated formation energy comes out at -0.80 eV per formula unit.

The structure belongs to space group Cmmm (No. 65); the cell edges are 3.6091, 20.4611 and 3.5739 Å and the angles 90.00°, 90.00° and 90.00°. Symmetry generates all atoms from Tm at (0.0000, 0.0876, 0.0000), Tl at (0.0000, 0.3126, 0.5000) and Ag at (0.0000, 0.5000, 0.5000).